VASP calculation (PBE-GGA) on a geometry-optimized LiCuAgB structure.

The structure in POSCAR format:
```
LiCuAgB
1.0
0.000 2.894 2.894
2.894 0.000 2.894
2.894 2.894 0.000
Li Cu Ag B
1 1 1 1
Cartesian
0.000 0.000 0.000
2.894 2.894 2.894
1.447 1.447 1.447
4.341 4.341 4.341
```

- E above lowest polymorph: 0.141 eV per atom



VASP calculation (PBE-GGA) on a geometry-optimized Zr3PdN structure.

The structure in POSCAR format:
```
Zr3PdN
1.0
4.447 0.000 0.000
0.000 4.447 0.000
0.000 0.000 4.447
Zr Pd N
3 1 1
Cartesian
0.000 0.000 2.223
0.000 2.223 0.000
2.223 0.000 0.000
2.223 2.223 2.223
0.000 0.000 0.000
```

- Uncorrected energy: -8.74 eV per atom



VASP calculation (PBE-GGA) on a geometry-optimized Li4Tl2HgAu structure.

The structure in POSCAR format:
```
Li4Tl2HgAu
1.0
4.750 0.000 0.000
0.000 4.750 0.000
0.000 0.000 6.759
Li Tl Hg Au
4 2 1 1
Cartesian
0.000 0.000 0.000
0.000 2.375 1.621
2.375 0.000 5.139
2.375 2.375 3.380
0.000 2.375 5.150
2.375 0.000 1.609
0.000 0.000 3.380
2.375 2.375 0.000
```

- Uncorrected energy: -2.30 eV per atom



VASP calculation (PBE-GGA) on a geometry-optimized RbBPd3 structure.

The structure in POSCAR format:
```
RbBPd3
1.0
5.840 0.000 0.000
-2.920 5.058 0.000
0.000 0.000 5.809
Rb B Pd
2 2 6
Cartesian
0.000 0.000 0.000
0.000 0.000 2.905
0.000 3.372 0.000
2.920 1.686 0.000
-1.460 2.529 1.422
-1.460 2.529 4.388
2.920 0.000 1.422
2.920 0.000 4.388
1.460 2.529 1.422
1.460 2.529 4.388
```

- Uncorrected energy: -4.71 eV per atom